1.
VASP calculation (PBE-GGA) on a relaxed structure of Pa3Ni7.

Electronic total energy ... -70.26 eV/cell
ΔH_f (0 K) ... -130 meV per atom

Cell lengths 6.3392, 6.3392, 6.1694 Å; angles 90.00, 90.00, 139.45 degrees
Closest atoms and distances in Å follow each position.
Fractional coordinates of all 10 atoms:
Pa: 0.0000 0.0000 0.0000  12 Ni 2.85-3.17
Pa: 0.1577 0.8423 0.5000  6 Ni 2.89-2.92, 2 Pa 3.11
Pa: 0.8423 0.1577 0.5000  6 Ni 2.89-2.92, 2 Pa 3.11
Ni: 0.0000 0.5000 0.0000  6 Ni 2.20-2.34
Ni: 0.3890 0.6110 0.2019  4 Ni 2.26-2.49
Ni: 0.3890 0.6110 0.7981  4 Ni 2.26-2.49
Ni: 0.5000 0.0000 0.0000  6 Ni 2.20-2.34
Ni: 0.5000 0.5000 0.5000  4 Ni 2.26
Ni: 0.6110 0.3890 0.2019  4 Ni 2.26-2.49
Ni: 0.6110 0.3890 0.7981  4 Ni 2.26-2.49



2.
VASP calculation (PBE-GGA) on a relaxed structure of Pa3Ni.

Energy above the most stable polymorph in this dataset ... 0.000 eV/atom
Electronic total energy ... -69.65 eV/cell
ΔH_f (0 K) ... -139 meV per atom

Cell lengths 5.7762, 5.7762, 9.6231 Å; angles 90.00, 90.00, 146.91 degrees
Closest atoms and distances in Å follow each position.
Fractional coordinates of all 8 atoms:
Pa: 0.0587 0.9413 0.7500  2 Ni 2.71
Pa: 0.3648 0.6352 0.5598  2 Ni 2.75
Pa: 0.3648 0.6352 0.9402  2 Ni 2.75
Pa: 0.6352 0.3648 0.0598  2 Ni 2.75
Pa: 0.6352 0.3648 0.4402  2 Ni 2.75
Pa: 0.9413 0.0587 0.2500  2 Ni 2.71
Ni: 0.2464 0.7536 0.2500  6 Pa 2.71-2.75
Ni: 0.7536 0.2464 0.7500  6 Pa 2.71-2.75



3.
VASP calculation (PBE-GGA) on a relaxed structure of PaNi4.

Electronic total energy ... -69.01 eV/cell
ΔH_f (0 K) ... -377 meV per atom

Cell lengths 7.2208, 7.2208, 7.2208 Å; angles 148.27, 135.72, 55.49 degrees
Closest atoms and distances in Å follow each position.
Fractional coordinates of all 10 atoms:
Pa: 0.3656 0.1156 0.2500  13 Ni 2.70-2.88
Pa: 0.6344 0.8844 0.7500  13 Ni 2.70-2.88
Ni: 0.0000 0.5000 0.5000  8 Ni 2.49-2.75
Ni: 0.1440 0.8940 0.2500  10 Ni 2.56-2.81, 3 Pa 2.72-2.83
Ni: 0.1619 0.6943 0.4676  6 Ni 2.37-2.56
Ni: 0.2734 0.3057 0.9676  6 Ni 2.37-2.56
Ni: 0.5000 0.5000 0.0000  8 Ni 2.49-2.75
Ni: 0.7266 0.6943 0.0324  6 Ni 2.37-2.56
Ni: 0.8381 0.3057 0.5324  6 Ni 2.37-2.56
Ni: 0.8560 0.1060 0.7500  10 Ni 2.56-2.81, 3 Pa 2.72-2.83



4.
VASP calculation (PBE-GGA) on a relaxed structure of PaNi2.

Electronic total energy ... -21.78 eV/cell
ΔH_f (0 K) ... -241 meV per atom

Cell lengths 4.8486, 4.8482, 3.4251 Å; angles 69.32, 69.31, 41.37 degrees
Closest atoms and distances in Å follow each position.
Fractional coordinates of all 3 atoms:
Pa: 0.0000 0.0000 0.0000  10 Ni 2.77-2.81
Ni: 0.3301 0.3301 0.6699  5 Ni 2.77-2.85, 5 Pa 2.77-2.81
Ni: 0.6699 0.6699 0.3301  5 Ni 2.77-2.85, 5 Pa 2.77-2.81